[1]
A plane-wave DFT calculation with GGA-PBE was carried out for a relaxed RbLiSnS2 crystal.

Results
formation energy from raw total energies = -0.950 eV/atom

Cell: 8.2961 8.2961 9.2071 Å, 97.10 97.10 28.49°
Last column: nearest neighbours and their distance in Å.
Element x y z (fractional)
Rb: 0.1553 0.1553 0.2931  5 S 3.34-3.56, 1 Li 3.58
Rb: 0.8447 0.8447 0.7069  5 S 3.34-3.56, 1 Li 3.58
Li: 0.2032 0.2032 0.9237  4 S 2.40-2.45
Li: 0.7968 0.7968 0.0763  4 S 2.40-2.45
Sn: 0.4273 0.4273 0.2556  3 S 2.52-2.67
Sn: 0.5727 0.5727 0.7444  3 S 2.52-2.67
S: 0.1618 0.1618 0.6588  1 Li 2.44, 2 Sn 2.67
S: 0.3555 0.3555 0.9958  3 Li 2.40-2.45, 1 Sn 2.52
S: 0.6445 0.6445 0.0042  3 Li 2.40-2.45, 1 Sn 2.52
S: 0.8382 0.8382 0.3412  1 Li 2.44, 2 Sn 2.67



[2]
A plane-wave DFT calculation with GGA-PBE was carried out for a relaxed Rb2LiSnS4 crystal.

Results
formation energy from raw total energies = -0.780 eV/atom

Cell: 6.6826 6.6826 6.6826 Å, 106.03 106.03 116.59°
Last column: nearest neighbours and their distance in Å.
Element x y z (fractional)
Rb: 0.0000 0.5000 0.5000  8 S 3.45-3.56, 2 Rb 3.51
Rb: 0.5000 0.0000 0.5000  8 S 3.45-3.56, 2 Rb 3.51
Li: 0.0000 0.0000 0.0000  4 S 2.58
Sn: 0.5000 0.5000 0.0000  4 S 2.42
S: 0.1098 0.1098 0.6872  1 Sn 2.42, 1 Li 2.58
S: 0.4225 0.4225 0.3128  1 Sn 2.42, 1 Li 2.58
S: 0.5775 0.8902 0.0000  1 Sn 2.42, 1 Li 2.58
S: 0.8902 0.5775 0.0000  1 Sn 2.42, 1 Li 2.58



[3]
A plane-wave DFT calculation with GGA-PBE was carried out for a relaxed RbLi2TeS crystal.

Results
formation energy from raw total energies = 0.418 eV/atom

Cell: 5.9256 5.9256 5.3308 Å, 90.00 90.00 90.00°
Last column: nearest neighbours and their distance in Å.
Element x y z (fractional)
Rb: 0.0000 0.0000 0.0000  2 S 2.67, 4 Li 2.96
Li: 0.0000 0.5000 0.0000  2 Rb 2.96
Li: 0.5000 0.0000 0.0000  2 Rb 2.96
Te: 0.5000 0.5000 0.5000  8 Li 3.99, 4 S 4.19
S: 0.0000 0.0000 0.5000  2 Rb 2.67



[4]
A plane-wave DFT calculation with GGA-PBE was carried out for a relaxed Rb2LiTeS4 crystal.

Results
formation energy from raw total energies = -0.631 eV/atom

Cell: 14.0072 12.4578 7.7144 Å, 84.48 62.28 33.24°
Last column: nearest neighbours and their distance in Å.
Element x y z (fractional)
Rb: 0.0540 0.0540 0.6960  8 S 3.63-3.74
Rb: 0.3040 0.3040 0.9460  8 S 3.63-3.74
Rb: 0.6960 0.6960 0.0540  8 S 3.63-3.74
Rb: 0.9460 0.9460 0.3040  8 S 3.63-3.74
Li: 0.1250 0.1250 0.1250  4 S 2.47
Li: 0.8750 0.8750 0.8750  4 S 2.47
Te: 0.3750 0.3750 0.3750  4 S 2.43
Te: 0.6250 0.6250 0.6250  4 S 2.43
S: 0.0251 0.3287 0.4307  1 Te 2.43, 1 Li 2.47
S: 0.2845 0.5693 0.6713  1 Te 2.43, 1 Li 2.47
S: 0.3287 0.0251 0.7155  1 Te 2.43, 1 Li 2.47
S: 0.4307 0.7155 0.0251  1 Te 2.43, 1 Li 2.47
S: 0.5693 0.2845 0.9749  1 Te 2.43, 1 Li 2.47
S: 0.6713 0.9749 0.2845  1 Te 2.43, 1 Li 2.47
S: 0.7155 0.4307 0.3287  1 Te 2.43, 1 Li 2.47
S: 0.9749 0.6713 0.5693  1 Te 2.43, 1 Li 2.47



[5]
A plane-wave DFT calculation with GGA-PBE was carried out for a relaxed RbLi2TeS4 crystal.

Results
formation energy from raw total energies = -0.712 eV/atom

Cell: 8.0143 8.2727 8.4284 Å, 119.11 102.16 102.16°
Last column: nearest neighbours and their distance in Å.
Element x y z (fractional)
Rb: 0.0000 0.0000 0.0000  5 S 3.24-3.44
Rb: 0.4360 0.7286 0.5336  7 S 3.24-3.57, 1 Li 3.62
Li: 0.3345 0.4649 0.9754  4 S 2.49-2.63
Li: 0.6140 0.1423 0.4360  4 S 2.47-2.60
Li: 0.6276 0.2548 0.9117  4 S 2.53-2.60
Li: 0.9644 0.4660 0.7954  4 S 2.39-2.50
Te: 0.0671 0.0691 0.5403  2 S 2.38-2.39
Te: 0.8317 0.4843 0.3645  3 S 2.37-2.39
S: 0.1453 0.6398 0.1424  1 S 2.10
S: 0.1912 0.4022 0.6310  1 Te 2.38, 2 Li 2.50-2.63
S: 0.2729 0.9505 0.3074  1 S 2.10
S: 0.2818 0.0969 0.8056  1 Te 2.39, 2 Li 2.54-2.55
S: 0.6658 0.5955 0.1946  1 Te 2.38, 2 Li 2.53-2.55
S: 0.6758 0.1350 0.1461  1 Te 2.37, 2 Li 2.57-2.60
S: 0.7237 0.5274 0.6210  1 Te 2.39, 2 Li 2.47-2.60
S: 0.8107 0.1324 0.6972  3 Li 2.39-2.53, 1 Te 2.68



[6]
A plane-wave DFT calculation with GGA-PBE was carried out for a relaxed Rb3LiTh3S8 crystal.

Results
formation energy from raw total energies = -1.697 eV/atom

Cell: 9.1175 9.1175 9.1175 Å, 54.54 54.54 54.54°
Last column: nearest neighbours and their distance in Å.
Element x y z (fractional)
Rb: 0.0000 0.5000 0.5000  6 S 3.35-3.46
Rb: 0.5000 0.0000 0.5000  6 S 3.35-3.46
Rb: 0.5000 0.5000 0.0000  6 S 3.35-3.46
Li: 0.5000 0.5000 0.5000  6 S 2.87
Th: 0.0000 0.0000 0.5000  6 S 2.77-2.86
Th: 0.0000 0.5000 0.0000  6 S 2.77-2.86
Th: 0.5000 0.0000 0.0000  6 S 2.77-2.86
S: 0.2172 0.7340 0.7340  2 Th 2.77, 1 Li 2.87
S: 0.2332 0.2332 0.2332  3 Th 2.86
S: 0.2660 0.2660 0.7828  2 Th 2.77, 1 Li 2.87
S: 0.2660 0.7828 0.2660  2 Th 2.77, 1 Li 2.87
S: 0.7340 0.2172 0.7340  2 Th 2.77, 1 Li 2.87
S: 0.7340 0.7340 0.2172  2 Th 2.77, 1 Li 2.87
S: 0.7668 0.7668 0.7668  3 Th 2.86
S: 0.7828 0.2660 0.2660  2 Th 2.77, 1 Li 2.87